# 1
GGA-PBE La3PuPa2N6, optimized geometry; Fermi-level density of states = 1.12 states/eV per atom; formation energy from raw total energies = -1486 meV/atom; V = 16.7 A^3/atom; M_tot = 5.13 μB/f.u.; total energy = -9.66 eV/atom
1.0
-1.7029 5.1546 -3.0446
-3.8966 -4.8411 0.3451
-0.4341 2.1087 5.9373
La Pu Pa N
3 1 2 6
direct
0.1653 0.8347 0.5000
0.8347 0.1653 0.5000
0.5000 0.5000 0.5000
0.0000 0.0000 0.0000
0.3331 0.6669 0.0000
0.6669 0.3331 0.0000
0.9305 0.5855 0.7916
0.7238 0.7238 0.2074
0.0695 0.4145 0.2084
0.5855 0.9305 0.7916
0.2762 0.2762 0.7926
0.4145 0.0695 0.2084



# 2
GGA-PBE SiSnO2F, optimized geometry; Fermi-level density of states = 0.46 states/eV per atom; formation energy from raw total energies = -806 meV/atom; V = 14.5 A^3/atom; M_tot = 0.00 μB/f.u.; total energy = -5.05 eV/atom
1.0
4.1273 0.0000 0.0000
0.0000 4.1273 0.0000
0.0000 0.0000 4.2636
Si Sn O F
1 1 2 1
direct
0.5000 0.5000 0.5000
0.0000 0.0000 0.0000
0.0000 0.5000 0.0000
0.5000 0.0000 0.0000
0.0000 0.0000 0.5000